(1)
This record from the Alexandria database describes a relaxed Mg2FeCoGe2 crystal. The functional is PBE.

Output
ΔE_f	-143	kJ/mol of formula units
SG	Ibam
raw total energy	-4.913	eV per atom
crystal system	orthorhombic

a = 7.2192 Å, b = 7.2192 Å, c = 7.2192 Å
α = 134.56°, β = 66.25°, γ = 134.51°
Positions (direct):
Mg  0.1589  0.2472  0.4061
Mg  0.3411  0.7472  0.0883
Mg  0.6589  0.2528  0.9117
Mg  0.8411  0.7528  0.5939
Fe  0.2500  0.7500  0.5000
Fe  0.7500  0.2500  0.5000
Co  0.2500  0.2500  0.0000
Co  0.7500  0.7500  0.0000
Ge  0.1107  0.7451  0.8558
Ge  0.3893  0.2451  0.6345
Ge  0.6107  0.7549  0.3655
Ge  0.8893  0.2549  0.1442

***

(2)
This record from the Alexandria database describes a relaxed Ag3Os crystal. The functional is PBE.

Output
energy above the most stable polymorph in this dataset	0.0	meV per atom
ΔE_f	155	kJ/mol of formula units
SG	R-3m
raw total energy	-4.545	eV per atom
crystal system	trigonal

a = 9.9288 Å, b = 9.9288 Å, c = 9.9288 Å
α = 16.19°, β = 16.19°, γ = 16.19°
Positions (direct):
Ag  0.0000  0.0000  0.0000
Ag  0.2481  0.2481  0.2481
Ag  0.7519  0.7519  0.7519
Os  0.5000  0.5000  0.5000

***

Among the records above, which one has the highest raw total energy?
Ag3Os